TlTcO3, relaxed, DFT PBE; total energy = -32.71 eV per formula unit; calculated density = 6.74 g cm⁻³; crystal system = orthorhombic
1.0
5.4916 0.0000 0.0000
0.0000 10.5675 0.0000
0.0000 0.0000 5.9461
Tl Tc O
4 4 12
direct
0.0000 0.0000 0.0000 Tl
0.0000 0.5000 0.0000 Tl
0.5000 0.0000 0.5000 Tl
0.5000 0.5000 0.5000 Tl
0.0024 0.2500 0.4552 Tc
0.4976 0.7500 0.9552 Tc
0.5024 0.2500 0.0448 Tc
0.9976 0.7500 0.5448 Tc
0.0779 0.1105 0.6009 O
0.0779 0.3895 0.6009 O
0.1805 0.2500 0.1739 O
0.3195 0.7500 0.6739 O
0.4221 0.6105 0.1009 O
0.4221 0.8895 0.1009 O
0.5779 0.1105 0.8991 O
0.5779 0.3895 0.8991 O
0.6805 0.2500 0.3261 O
0.8195 0.7500 0.8261 O
0.9221 0.6105 0.3991 O
0.9221 0.8895 0.3991 O